No. 1
NiAsPb2 at its PBEsol-relaxed geometry. Source: Alexandria, functional SCAN.

Lattice parameters (Å, degrees): 4.962 4.962 4.962 60.00 60.00 60.00
Fractional positions:
As  0.500  0.500  0.500
Ni  0.250  0.250  0.250
Pb  0.000  0.000  0.000
Pb  0.750  0.750  0.750

Output
Formation energy, eV/atom: 0.5917



No. 2
Ni3AsPd at its PBEsol-relaxed geometry. Source: Alexandria, functional SCAN.

Lattice parameters (Å, degrees): 4.222 4.222 4.222 90.00 90.00 90.00
Last column: magnetic moment on the atom in μB.
Fractional positions:
Ni  0.000  0.500  0.000  0.45
Ni  0.000  0.000  0.500  0.45
Ni  0.500  0.000  0.000  0.45
As  0.000  0.000  0.000  0.00
Pd  0.500  0.500  0.500  0.24

Output
Formation energy, eV/atom: 0.5168



No. 3
Ni2AsPdS at its PBEsol-relaxed geometry. Source: Alexandria, functional SCAN.

Lattice parameters (Å, degrees): 4.278 4.278 4.623 90.00 90.00 90.00
Fractional positions:
Ni  0.000  0.500  0.000
Ni  0.500  0.000  0.000
As  0.000  0.000  0.000
S  0.500  0.500  0.500
Pd  0.000  0.000  0.500

Output
Formation energy without anion corrections, eV/atom: 0.5877



No. 4
NiAsPdSe2 at its PBEsol-relaxed geometry. Source: Alexandria, functional SCAN.

Lattice parameters (Å, degrees): 4.593 4.928 4.928 90.00 90.00 90.00
Last column: magnetic moment on the atom in μB.
Fractional positions:
Ni  0.500  0.500  0.500  1.15
As  0.500  0.000  0.000  0.03
Se  0.000  0.000  0.500  0.15
Se  0.000  0.500  0.000  0.15
Pd  0.000  0.000  0.000  0.01

Output
Formation energy without anion corrections, eV/atom: 0.8843



No. 5
PrNi2As2 at its PBEsol-relaxed geometry. Source: Alexandria, functional SCAN.

Lattice parameters (Å, degrees): 4.178 4.178 9.329 90.00 90.00 90.00
Fractional positions:
Pr  0.500  0.000  0.253
Pr  0.000  0.500  0.747
Ni  0.500  0.000  0.881
Ni  0.500  0.500  0.500
Ni  0.000  0.500  0.119
Ni  0.000  0.000  0.500
As  0.000  0.500  0.373
As  0.500  0.500  0.000
As  0.000  0.000  0.000
As  0.500  0.000  0.627

Output
Formation energy, eV/atom: -0.9127



No. 6
Pr2Ni12As7 at its PBEsol-relaxed geometry. Source: Alexandria, functional SCAN.

Lattice parameters (Å, degrees): 3.855 9.277 9.277 120.00 90.00 90.00
Fractional positions:
Pr  0.000  0.333  0.667
Pr  0.500  0.000  0.000
Ni  0.500  0.293  0.382
Ni  0.500  0.089  0.707
Ni  0.500  0.618  0.911
Ni  0.000  0.229  0.951
Ni  0.000  0.723  0.771
Ni  0.000  0.049  0.277
Ni  0.500  0.462  0.225
Ni  0.500  0.763  0.538
Ni  0.500  0.775  0.237
Ni  0.000  0.520  0.465
Ni  0.000  0.945  0.480
Ni  0.000  0.535  0.055
As  0.000  0.667  0.333
As  0.500  0.566  0.633
As  0.500  0.067  0.434
As  0.500  0.367  0.933
As  0.000  0.269  0.222
As  0.000  0.953  0.731
As  0.000  0.778  0.047

Output
Formation energy, eV/atom: -0.5704



No. 7
NiAsPt2 at its PBEsol-relaxed geometry. Source: Alexandria, functional SCAN.

Lattice parameters (Å, degrees): 2.806 3.383 5.922 90.00 90.00 90.00
Fractional positions:
As  0.000  0.000  0.533
Ni  0.500  0.500  0.731
Pt  0.000  0.000  0.974
Pt  0.500  0.500  0.262

Output
Formation energy, eV/atom: -0.0458



No. 8
NiAsPt at its PBEsol-relaxed geometry. Source: Alexandria, functional SCAN.

Lattice parameters (Å, degrees): 4.000 4.000 4.000 60.00 60.00 60.00
Fractional positions:
As  0.250  0.250  0.250
Ni  0.000  0.000  0.000
Pt  0.500  0.500  0.500

Output
Formation energy, eV/atom: -0.2292



No. 9
NiAs2Pt at its PBEsol-relaxed geometry. Source: Alexandria, functional SCAN.

Lattice parameters (Å, degrees): 3.344 4.201 4.984 114.93 109.60 90.00
Fractional positions:
As  0.999  0.999  0.997
As  0.230  0.730  0.459
Ni  0.515  0.515  0.030
Pt  0.757  0.257  0.513

Output
Formation energy, eV/atom: 0.0469
Energy above the most stable polymorph in this dataset, eV/atom: 0.194



No. 10
NiAs2Pt at its PBEsol-relaxed geometry. Source: Alexandria, functional SCAN.

Lattice parameters (Å, degrees): 5.489 5.489 6.442 115.22 115.22 90.00
Fractional positions:
Ni  0.750  0.250  0.500
Ni  0.500  0.500  0.000
As  0.398  0.875  0.250
As  0.852  0.375  0.250
As  0.125  0.148  0.750
As  0.625  0.602  0.750
Pt  0.250  0.750  0.500
Pt  0.000  0.000  0.000

Output
Formation energy, eV/atom: -0.1470
Energy above the most stable polymorph in this dataset, eV/atom: 0.000



No. 11
NiAsPt3 at its PBEsol-relaxed geometry. Source: Alexandria, functional SCAN.

Lattice parameters (Å, degrees): 4.558 4.558 4.558 90.00 90.00 90.00
Last column: magnetic moment on the atom in μB.
Fractional positions:
Ni  0.500  0.500  0.500  1.16
As  0.000  0.000  0.000  -0.01
Pt  0.000  0.500  0.000  -0.01
Pt  0.000  0.000  0.500  -0.01
Pt  0.500  0.000  0.000  -0.01

Output
Formation energy, eV/atom: 0.8137



No. 12
NiAsPt2 at its PBEsol-relaxed geometry. Source: Alexandria, functional SCAN.

Lattice parameters (Å, degrees): 3.496 3.988 4.875 114.15 111.01 90.00
Last column: magnetic moment on the atom in μB.
Fractional positions:
As  0.500  0.000  0.000  -0.01
Ni  0.000  0.500  0.000  0.68
Pt  0.778  0.778  0.556  0.07
Pt  0.222  0.222  0.444  0.07

Output
Formation energy, eV/atom: -0.1146



No. 13
NiAsPt2 at its PBEsol-relaxed geometry. Source: Alexandria, functional SCAN.

Lattice parameters (Å, degrees): 2.835 2.835 8.458 80.35 80.35 60.00
Last column: magnetic moment on the atom in μB.
Fractional positions:
As  0.500  0.500  0.500  0.03
Ni  0.000  0.000  0.000  1.24
Pt  0.252  0.252  0.243  0.19
Pt  0.748  0.748  0.757  0.19

Output
Formation energy, eV/atom: -0.0430



No. 14
Rb2NiAs2 at its PBEsol-relaxed geometry. Source: Alexandria, functional SCAN.

Lattice parameters (Å, degrees): 5.844 6.773 7.850 64.45 90.00 90.00
Fractional positions:
Ni  0.000  0.000  0.000
Ni  0.500  0.000  0.000
As  0.250  0.083  0.192
As  0.750  0.917  0.808
As  0.750  0.276  0.808
As  0.250  0.724  0.192
Rb  0.250  0.208  0.583
Rb  0.750  0.792  0.417
Rb  0.250  0.592  0.816
Rb  0.750  0.408  0.184

Output
Formation energy, eV/atom: -0.5050



No. 15
ReNiAs at its PBEsol-relaxed geometry. Source: Alexandria, functional SCAN.

Lattice parameters (Å, degrees): 2.846 2.846 5.814 90.00 90.00 120.00
Fractional positions:
As  0.000  0.000  0.995
Ni  0.333  0.667  0.674
Re  0.667  0.333  0.331

Output
Formation energy, eV/atom: 0.2422
Energy above the most stable polymorph in this dataset, eV/atom: 0.000



No. 16
ReNiAs at its PBEsol-relaxed geometry. Source: Alexandria, functional SCAN.

Lattice parameters (Å, degrees): 3.027 3.027 4.802 108.37 108.37 90.00
Fractional positions:
As  0.006  0.006  0.011
Ni  0.658  0.658  0.315
Re  0.337  0.337  0.673

Output
Formation energy, eV/atom: 0.2438
Energy above the most stable polymorph in this dataset, eV/atom: 0.002



No. 17
ReNiAs at its PBEsol-relaxed geometry. Source: Alexandria, functional SCAN.

Lattice parameters (Å, degrees): 4.054 4.054 4.054 60.00 60.00 60.00
Last column: magnetic moment on the atom in μB.
Fractional positions:
As  0.000  0.000  0.000  0.02
Ni  0.500  0.500  0.500  0.45
Re  0.250  0.250  0.250  0.65

Output
Formation energy, eV/atom: 0.3569
Energy above the most stable polymorph in this dataset, eV/atom: 0.115



No. 18
ReNiAs2 at its PBEsol-relaxed geometry. Source: Alexandria, functional SCAN.

Lattice parameters (Å, degrees): 4.344 4.344 4.344 60.00 60.00 60.00
Fractional positions:
As  0.000  0.000  0.000
As  0.750  0.750  0.750
Ni  0.500  0.500  0.500
Re  0.250  0.250  0.250

Output
Formation energy, eV/atom: 0.6875
Energy above the most stable polymorph in this dataset, eV/atom: 0.138



No. 19
ReNiAs2 at its PBEsol-relaxed geometry. Source: Alexandria, functional SCAN.

Lattice parameters (Å, degrees): 2.660 4.381 5.049 90.00 92.10 90.00
Fractional positions:
As  0.864  0.000  0.736
As  0.136  0.000  0.264
Ni  0.500  0.500  0.500
Re  0.000  0.500  0.000

Output
Formation energy, eV/atom: 0.5493
Energy above the most stable polymorph in this dataset, eV/atom: 0.000



No. 20
ReNiAs at its PBEsol-relaxed geometry. Source: Alexandria, functional SCAN.

Lattice parameters (Å, degrees): 3.964 3.964 3.964 60.00 60.00 60.00
Fractional positions:
As  0.500  0.500  0.500
Ni  0.250  0.250  0.250
Re  0.000  0.000  0.000

Output
Formation energy, eV/atom: 0.6742
Energy above the most stable polymorph in this dataset, eV/atom: 0.432



No. 21
ReNiAs2Se at its PBEsol-relaxed geometry. Source: Alexandria, functional SCAN.

Lattice parameters (Å, degrees): 4.397 4.397 4.560 90.00 90.00 90.00
Last column: magnetic moment on the atom in μB.
Fractional positions:
Re  0.500  0.500  0.500  1.85
As  0.000  0.500  0.000  -0.08
As  0.500  0.000  0.000  -0.08
Se  0.000  0.000  0.500  -0.16
Ni  0.000  0.000  0.000  -0.07

Output
Formation energy without anion corrections, eV/atom: 1.1604



No. 22
NiAsRh2 at its PBEsol-relaxed geometry. Source: Alexandria, functional SCAN.

Lattice parameters (Å, degrees): 2.739 4.530 5.049 116.50 105.50 90.52
Fractional positions:
As  0.000  0.500  0.000
Ni  0.500  0.000  0.000
Rh  0.500  0.500  0.500
Rh  0.000  0.000  0.500

Output
Formation energy, eV/atom: -0.0076



No. 23
NiAsRh2 at its PBEsol-relaxed geometry. Source: Alexandria, functional SCAN.

Lattice parameters (Å, degrees): 2.775 2.775 8.105 80.14 80.14 60.00
Fractional positions:
As  0.504  0.504  0.489
Ni  0.245  0.245  0.266
Rh  0.997  0.997  0.010
Rh  0.755  0.755  0.735

Output
Formation energy, eV/atom: 0.0226



No. 24
NiAsRh2 at its PBEsol-relaxed geometry. Source: Alexandria, functional SCAN.

Lattice parameters (Å, degrees): 2.813 3.697 5.232 90.00 101.77 90.00
Last column: magnetic moment on the atom in μB.
Fractional positions:
As  0.500  0.500  0.000  -0.01
Ni  0.500  0.500  0.500  0.80
Rh  0.098  0.000  0.753  0.21
Rh  0.902  0.000  0.247  0.21

Output
Formation energy, eV/atom: -0.1231



No. 25
Ni2AsRu at its PBEsol-relaxed geometry. Source: Alexandria, functional SCAN.

Lattice parameters (Å, degrees): 4.083 4.083 4.083 60.00 60.00 60.00
Fractional positions:
As  0.500  0.500  0.500
Ni  0.000  0.000  0.000
Ni  0.750  0.750  0.750
Ru  0.250  0.250  0.250

Output
Formation energy, eV/atom: -0.0235



No. 26
Ni2AsRu at its PBEsol-relaxed geometry. Source: Alexandria, functional SCAN.

Lattice parameters (Å, degrees): 2.753 4.401 4.401 112.88 90.00 90.00
Fractional positions:
As  0.500  0.500  0.500
Ni  0.000  0.500  0.000
Ni  0.000  0.000  0.500
Ru  0.500  0.000  0.000

Output
Formation energy, eV/atom: 0.0334



No. 27
NiSbAs2 at its PBEsol-relaxed geometry. Source: Alexandria, functional SCAN.

Lattice parameters (Å, degrees): 2.985 4.731 5.863 113.79 104.75 90.00
Fractional positions:
As  0.813  0.813  0.626
As  0.187  0.187  0.374
Ni  0.500  0.000  0.000
Sb  0.000  0.500  0.000

Output
Formation energy without anion corrections, eV/atom: 0.1748



No. 28
NiSb2As at its PBEsol-relaxed geometry. Source: Alexandria, functional SCAN.

Lattice parameters (Å, degrees): 3.105 4.705 6.223 112.21 104.45 90.00
Fractional positions:
As  0.576  0.576  0.151
Ni  0.241  0.741  0.481
Sb  0.938  0.938  0.876
Sb  0.746  0.246  0.492

Output
Formation energy without anion corrections, eV/atom: 0.1376